Entry 1:
CuTc2Cl | GGA-PBE | relaxed

abc: 6.8101 6.8101 6.8101
angles: 136.32 136.32 63.49
Fractional positions:
Cu1 0.0000 0.0000 0.0000
Cu2 0.7500 0.2500 0.5000
Tc1 0.1544 0.6250 0.0294
Tc2 0.3750 0.4044 0.5294
Tc3 0.5956 0.1250 0.9706
Tc4 0.8750 0.8456 0.4706
Cl1 0.2500 0.7500 0.5000
Cl2 0.5000 0.5000 0.0000

Output
calculated density = 6.6 g cm⁻³
total magnetization = 0.00 μB per cell
formation energy from raw total energies = 1.34 eV per atom
space group = I-42d, No. 122
D(E_F) = 3.0 states/eV/f.u.
crystal system = tetragonal

---

Entry 2:
PrAl4Zn2Pt | GGA-PBE | relaxed

abc: 9.5861 9.5861 9.5861
angles: 26.13 26.13 26.13
Fractional positions:
Pr1 0.0000 0.0000 0.0000
Al1 0.1345 0.1345 0.1345
Al2 0.4088 0.4088 0.4088
Al3 0.5912 0.5912 0.5912
Al4 0.8655 0.8655 0.8655
Zn1 0.2656 0.2656 0.2656
Zn2 0.7344 0.7344 0.7344
Pt1 0.5000 0.5000 0.5000

Output
energy relative to the elements = -0.4659 eV per atom
calculated density = 6.3 g cm⁻³
total magnetization = 0.00 μB per cell
space group = R-3m, No. 166
D(E_F) = 2.4 states/eV/f.u.
crystal system = trigonal